First-principles (PBE with a Hubbard U) data for a relaxed CaMnO2 crystal, as listed in the Alexandria database.

Summary:
calculated density = 4.51 g cm⁻³
calculated total energy = -6.6169 eV/atom

a = 5.7192 Å, b = 5.7192 Å, c = 5.7192 Å
α = 90.00°, β = 90.00°, γ = 90.00°
Last column: nearest neighbours and their distance in Å.
Space group Fm-3m (No. 225)
Inequivalent atoms, fractional coordinates:
Ca1 0.0000 0.0000 0.0000 x4  8 O 2.48
Mn1 0.0000 0.0000 0.5000 x4  8 O 2.48
O1 0.2500 0.2500 0.2500 x8  4 Mn 2.48, 4 Ca 2.48